The following is a DFT calculation (PBE-GGA) of crystalline Ac4LaIr3 at its relaxed geometry.

Cell lengths 14.4090, 7.5516, 11.0364 Å; angles 90.00, 113.23, 90.00 degrees
Last column: nearest neighbours and their distance in Å.
Space group Cc (No. 9)
Inequivalent atoms, fractional coordinates:
1 Ac 0.0000 0.1620 0.0000 x4  4 Ir 2.99-3.09
2 Ac 0.0898 0.3218 0.7033 x4  4 Ir 3.04-3.08
3 Ac 0.1854 0.1659 0.4121 x4  4 Ir 3.00-3.05
4 Ac 0.2859 0.3301 0.1040 x4  3 Ir 2.94-2.98
5 La 0.3976 0.1714 0.8026 x4  3 Ir 2.86-2.88
6 Ir 0.0870 0.4997 0.4511 x4  1 La 2.88, 5 Ac 2.98-3.08
7 Ir 0.2069 0.0013 0.6726 x4  1 La 2.86, 5 Ac 2.97-3.09
8 Ir 0.4803 0.4896 0.7429 x4  1 La 2.87, 5 Ac 2.94-3.08

magnetic moment = 0.0 μB per formula unit
formation energy = -620 meV per atom
DOS(E_F) = 16.6 states/eV per cell